Density functional theory data (GGA-PBE) for a relaxed structure of Y4Hf2Au3C3.

abc: 10.663 6.172 14.498
angles: 90.00 103.82 90.00
Space group C2/c (No. 15)
Inequivalent atoms, fractional coordinates:
Y 0.116 0.074 0.103 [8 per cell]
Y 0.212 0.088 0.397 [8 per cell]
Hf 0.063 0.410 0.921 [8 per cell]
Au 0.000 0.140 0.750 [4 per cell]
Au 0.140 0.445 0.250 [8 per cell]
C 0.075 0.275 0.500 [8 per cell]
C 0.250 0.250 0.000 [4 per cell]

## Properties
Energy in eV per atom: -7.53
V in A^3/atom: 19.301